*a*
Cs3PI6 | PBE-GGA | optimized geometry

Geometry as POSCAR:
```
Cs3PI6
1.0
0.000 6.408 6.408
6.408 0.000 6.408
6.408 6.408 0.000
Cs P I
3 1 6
direct
0.000 0.000 0.000
0.250 0.250 0.250
0.750 0.750 0.750
0.500 0.500 0.500
0.281 0.281 0.719
0.281 0.719 0.281
0.281 0.719 0.719
0.719 0.281 0.281
0.719 0.281 0.719
0.719 0.719 0.281
```

* space-group type: Fm-3m, No. 225
* DOS(E_F): 0.0 states/eV/f.u.



*b*
Cs3PI6 | PBE-GGA | optimized geometry

Geometry as POSCAR:
```
Cs3PI6
1.0
8.854 0.000 0.000
0.000 9.216 0.000
-8.574 0.000 12.710
Cs P I
6 2 12
direct
0.000 0.000 0.000
0.000 0.500 0.500
0.281 0.075 0.757
0.281 0.425 0.257
0.719 0.575 0.743
0.719 0.925 0.243
0.500 0.000 0.500
0.500 0.500 0.000
0.195 0.020 0.290
0.195 0.480 0.790
0.291 0.666 0.051
0.291 0.834 0.551
0.392 0.241 0.051
0.392 0.259 0.551
0.608 0.741 0.449
0.608 0.759 0.949
0.709 0.166 0.449
0.709 0.334 0.949
0.805 0.520 0.210
0.805 0.980 0.710
```

* space-group type: P2_1/c, No. 14
* DOS(E_F): 0.0 states/eV/f.u.



Ranked by calculated energy, most stable first: *b*, *a*.



*a*
CsPS2I | PBE-GGA | optimized geometry

Geometry as POSCAR:
```
CsPS2I
1.0
5.578 0.000 0.000
0.000 5.578 0.000
0.000 0.000 9.483
Cs P S I
1 1 2 1
direct
0.000 0.000 0.000
0.000 0.000 0.500
0.000 0.500 0.000
0.500 0.000 0.000
0.500 0.500 0.500
```

* space-group type: P4/mmm, No. 123
* DOS(E_F): 6.6 states/eV/f.u.



*b*
CsPS2I | PBE-GGA | optimized geometry

Geometry as POSCAR:
```
CsPS2I
1.0
5.364 0.000 0.000
0.000 5.364 0.000
0.000 0.000 5.456
Cs P S I
1 1 2 1
direct
0.000 0.000 0.000
0.500 0.500 0.000
0.000 0.500 0.500
0.500 0.000 0.500
0.500 0.500 0.500
```

* space-group type: P4/mmm, No. 123
* DOS(E_F): 2.2 states/eV/f.u.



Ranked by calculated energy, most stable first: *b*, *a*.